Entry 1:
Density functional theory data (PBE-GGA) for crystalline Zr2Pa at its relaxed geometry.

Summary:
The value obtained for the energy relative to the elements is 0.080 eV/f.u. Its space-group type is Cmcm, No. 63. The value obtained for the offset from the most stable computed form is 0 meV per atom.

Cell lengths 17.3222, 3.1162, 5.2736 Å; angles 90.00, 90.00, 90.00 degrees
Fractional coordinates of all 12 atoms:
Zr  0.4332  0.0000  0.5000
Zr  0.9332  0.5000  0.5000
Zr  0.5112  0.5000  0.0000
Zr  0.0112  0.0000  0.0000
Zr  0.5980  0.5000  0.5000
Zr  0.3464  0.0000  0.0000
Zr  0.0979  0.0000  0.5000
Zr  0.8465  0.5000  0.0000
Pa  0.2646  0.5000  0.5000
Pa  0.7648  0.0000  0.5000
Pa  0.6798  0.0000  0.0000
Pa  0.1797  0.5000  0.0000

***

Entry 2:
Density functional theory data (PBE-GGA) for crystalline ZrPa at its relaxed geometry.

Summary:
The value obtained for the energy relative to the elements is 0.201 eV/f.u. Its space-group type is Amm2, No. 38. The value obtained for the offset from the most stable computed form is 75 meV per atom.

Cell lengths 5.5044, 8.4971, 5.4754 Å; angles 90.00, 90.00, 71.10 degrees
Fractional coordinates of all 10 atoms:
Zr  0.6732  0.9983  0.5000
Zr  0.1903  0.6111  0.0000
Zr  0.0013  0.9890  0.0000
Zr  0.2587  0.8000  0.5000
Zr  0.8715  0.6017  0.5000
Pa  0.8005  0.3968  0.0000
Pa  0.5986  0.8000  0.0000
Pa  0.4726  0.3967  0.5000
Pa  0.0693  0.2032  0.5000
Pa  0.3972  0.2032  0.0000

***

Entry 3:
Density functional theory data (PBE-GGA) for crystalline ZrPa at its relaxed geometry.

Summary:
The value obtained for the energy relative to the elements is 0.122 eV/f.u. Its space-group type is P2_1/m, No. 11. The value obtained for the offset from the most stable computed form is 35 meV per atom.

Cell lengths 8.3274, 6.4404, 5.4600 Å; angles 90.00, 90.00, 101.33 degrees
Fractional coordinates of all 12 atoms:
Zr  0.2758  0.8175  0.0000
Zr  0.2788  0.0719  0.5000
Zr  0.9435  0.9836  0.0000
Zr  0.2877  0.5688  0.5000
Zr  0.9464  0.2380  0.5000
Zr  0.9345  0.4867  0.0000
Pa  0.6197  0.9091  0.5000
Pa  0.6257  0.4064  0.5000
Pa  0.5965  0.6493  0.0000
Pa  0.6024  0.1466  0.0000
Pa  0.2753  0.3147  0.0000
Pa  0.9469  0.7407  0.5000

***

Entry 4:
Density functional theory data (PBE-GGA) for crystalline ZrPa at its relaxed geometry.

Summary:
The value obtained for the energy relative to the elements is 0.134 eV/f.u. Its space-group type is Amm2, No. 38. The value obtained for the offset from the most stable computed form is 41 meV per atom.

Cell lengths 5.7569, 8.2683, 5.3914 Å; angles 90.00, 90.00, 69.62 degrees
Fractional coordinates of all 10 atoms:
Pa  0.1654  0.5999  0.0000
Pa  0.7575  0.4107  0.0000
Pa  0.5684  0.7892  0.0000
Pa  0.5063  0.4073  0.5000
Pa  0.3135  0.7926  0.5000
Zr  0.3637  0.1998  0.0000
Zr  0.6910  0.0018  0.5000
Zr  0.0927  0.1984  0.5000
Zr  0.9634  0.0005  0.0000
Zr  0.9113  0.5999  0.5000

***

Question: Which value of offset from the most stable computed form does entry 3 give?
Answer: 35 meV per atom

***

Question: Look up the offset from the most stable computed form of the third one.
Answer: 35 meV per atom

***

Question: Which of these has the lowest energy relative to the elements?
Answer: Zr2Pa